# 1
# Ca3AsRu PBE-GGA relaxed
data_Ca3AsRu
_cell_length_a 5.4715
_cell_length_b 5.4715
_cell_length_c 5.4715
_cell_angle_alpha 90.00
_cell_angle_beta 90.00
_cell_angle_gamma 90.00
_space_group_name_H-M_alt 'P 1'
_space_group_IT_number 1
loop_
_space_group_symop_operation_xyz
'x,y,z'
loop_
_atom_site_label
_atom_site_type_symbol
_atom_site_fract_x
_atom_site_fract_y
_atom_site_fract_z
Ca1 Ca 0.0000 0.0000 0.5000
Ca2 Ca 0.0000 0.5000 0.0000
Ca3 Ca 0.5000 0.0000 0.0000
As1 As 0.0000 0.0000 0.0000
Ru1 Ru 0.5000 0.5000 0.5000
# **Space-group type**: No. 221
# **Excess energy over the best structure of this formula in the dataset**: 60 kJ/mol of formula units
# **DFT total energy**: -3.789 eV/atom

# 2
# CaAs2Ru PBE-GGA relaxed
data_CaAs2Ru
_cell_length_a 5.4200
_cell_length_b 5.4200
_cell_length_c 5.4200
_cell_angle_alpha 136.89
_cell_angle_beta 136.89
_cell_angle_gamma 62.61
_space_group_name_H-M_alt 'P 1'
_space_group_IT_number 1
loop_
_space_group_symop_operation_xyz
'x,y,z'
loop_
_atom_site_label
_atom_site_type_symbol
_atom_site_fract_x
_atom_site_fract_y
_atom_site_fract_z
Ca1 Ca 0.0000 0.0000 0.0000
As1 As 0.5000 0.5000 0.0000
As2 As 0.7500 0.2500 0.5000
Ru1 Ru 0.2500 0.7500 0.5000
# **Space-group type**: No. 119
# **Excess energy over the best structure of this formula in the dataset**: 240 kJ/mol of formula units
# **DFT total energy**: -5.203 eV/atom

# 3
# Ca2As2Ru PBE-GGA relaxed
data_Ca2As2Ru
_cell_length_a 6.6711
_cell_length_b 6.6711
_cell_length_c 4.5668
_cell_angle_alpha 90.00
_cell_angle_beta 90.00
_cell_angle_gamma 90.00
_space_group_name_H-M_alt 'P 1'
_space_group_IT_number 1
loop_
_space_group_symop_operation_xyz
'x,y,z'
loop_
_atom_site_label
_atom_site_type_symbol
_atom_site_fract_x
_atom_site_fract_y
_atom_site_fract_z
Ca1 Ca 0.1735 0.3265 0.0000
Ca2 Ca 0.3265 0.8265 0.0000
Ca3 Ca 0.6735 0.1735 0.0000
Ca4 Ca 0.8265 0.6735 0.0000
As1 As 0.1405 0.6405 0.5000
As2 As 0.3595 0.1405 0.5000
As3 As 0.6405 0.8595 0.5000
As4 As 0.8595 0.3595 0.5000
Ru1 Ru 0.0000 0.0000 0.5000
Ru2 Ru 0.5000 0.5000 0.5000
# **Space-group type**: No. 127
# **DFT total energy**: -5.232 eV/atom

# 4
# CaAs2Ru PBE-GGA relaxed
data_CaAs2Ru
_cell_length_a 6.1194
_cell_length_b 6.1194
_cell_length_c 6.1194
_cell_angle_alpha 106.63
_cell_angle_beta 106.63
_cell_angle_gamma 115.31
_space_group_name_H-M_alt 'P 1'
_space_group_IT_number 1
loop_
_space_group_symop_operation_xyz
'x,y,z'
loop_
_atom_site_label
_atom_site_type_symbol
_atom_site_fract_x
_atom_site_fract_y
_atom_site_fract_z
Ca1 Ca 0.0000 0.0000 0.0000
Ca2 Ca 0.7500 0.2500 0.5000
As1 As 0.1949 0.6250 0.0699
As2 As 0.3750 0.4449 0.5699
As3 As 0.5551 0.1250 0.9301
As4 As 0.8750 0.8051 0.4301
Ru1 Ru 0.2500 0.7500 0.5000
Ru2 Ru 0.5000 0.5000 0.0000
# **Space-group type**: No. 122
# **Excess energy over the best structure of this formula in the dataset**: 119 kJ/mol of formula units
# **DFT total energy**: -5.518 eV/atom

no.,formation enthalpy at 0 K (kJ/mol of atoms)
1,19.0
2,-5.7
3,-69.2
4,-36.0